Ba2InBiSb | the Alexandria database | GGA-PBE | optimized geometry; DFT total energy = -3.662 eV/atom; crystal system = monoclinic; formation energy from raw total energies = -0.74 eV per atom
1.0
8.5477 0.0000 0.0000
0.0000 5.5316 0.0000
-0.2242 0.0000 8.6673
Ba In Bi Sb
4 2 2 2
direct
0.0041 0.2500 0.2597
0.4890 0.7500 0.6964
0.5110 0.2500 0.3036
0.9959 0.7500 0.7403
0.3230 0.2500 0.9317
0.6770 0.7500 0.0683
0.2767 0.7500 0.0809
0.7233 0.2500 0.9191
0.2333 0.2500 0.6064
0.7667 0.7500 0.3936